Crystalline InCoTc at its relaxed geometry. Source: the Alexandria database, functional PBE.

abc: 4.1418 4.1418 4.1418
angles: 60.00 60.00 60.00
Site moments in Bohr magnetons follow the coordinates.
Fractional coordinates of all 3 atoms:
Co  0.2500  0.2500  0.2500  0.28
In  0.0000  0.0000  0.0000  -0.04
Tc  0.5000  0.5000  0.5000  0.71

## Properties
Calculated formation energy ... 0.38 eV per atom
Relative energy among the computed polymorphs ... 203.6 meV/atom

---

Crystalline InCo4Tc at its relaxed geometry. Source: the Alexandria database, functional PBE.

abc: 4.8062 4.8062 4.8062
angles: 60.00 60.00 60.00
Site moments in Bohr magnetons follow the coordinates.
Fractional coordinates of all 6 atoms:
In  0.7500  0.7500  0.7500  -0.05
Co  0.8758  0.3747  0.3747  1.62
Co  0.3747  0.3747  0.8758  1.62
Co  0.3747  0.8758  0.3747  1.62
Co  0.3747  0.3747  0.3747  1.62
Tc  0.0000  0.0000  0.0000  1.25

## Properties
Calculated formation energy ... 0.16 eV per atom

---

Crystalline InCoTc2 at its relaxed geometry. Source: the Alexandria database, functional PBE.

abc: 8.9607 8.9607 8.9607
angles: 18.11 18.11 18.11
Site moments in Bohr magnetons follow the coordinates.
Fractional coordinates of all 4 atoms:
Co  0.2500  0.2500  0.2500  1.07
In  0.7500  0.7500  0.7500  -0.01
Tc  0.9919  0.9919  0.9919  0.02
Tc  0.5081  0.5081  0.5081  0.02

## Properties
Calculated formation energy ... 0.41 eV per atom
Relative energy among the computed polymorphs ... 254.8 meV/atom

---

Crystalline InCoTc2 at its relaxed geometry. Source: the Alexandria database, functional PBE.

abc: 4.4031 4.4031 4.4031
angles: 60.00 60.00 60.00
Site moments in Bohr magnetons follow the coordinates.
Fractional coordinates of all 4 atoms:
Co  0.0000  0.0000  0.0000  1.39
Tc  0.2500  0.2500  0.2500  0.06
Tc  0.7500  0.7500  0.7500  0.06
In  0.5000  0.5000  0.5000  0.02

## Properties
Calculated formation energy ... 0.48 eV per atom
Relative energy among the computed polymorphs ... 320.8 meV/atom

---

Crystalline InCoTc2 at its relaxed geometry. Source: the Alexandria database, functional PBE.

abc: 4.4070 4.4070 4.4070
angles: 60.00 60.00 60.00
Site moments in Bohr magnetons follow the coordinates.
Fractional coordinates of all 4 atoms:
Co  0.5000  0.5000  0.5000  1.39
In  0.7500  0.7500  0.7500  -0.03
Tc  0.0000  0.0000  0.0000  -0.34
Tc  0.2500  0.2500  0.2500  0.99

## Properties
Calculated formation energy ... 0.28 eV per atom
Relative energy among the computed polymorphs ... 119.3 meV/atom

---

Crystalline InCoTc2 at its relaxed geometry. Source: the Alexandria database, functional PBE.

abc: 7.2522 7.2522 5.7019
angles: 50.51 50.51 90.00
Fractional coordinates of all 8 atoms:
Co  0.5000  0.5000  0.0000
Co  0.2500  0.7500  0.5000
Tc  0.5651  0.1250  0.2500
Tc  0.1849  0.6250  0.2500
Tc  0.3750  0.4349  0.7500
Tc  0.8750  0.8151  0.7500
In  0.0000  0.0000  0.0000
In  0.7500  0.2500  0.5000

## Properties
Calculated formation energy ... 0.66 eV per atom
Relative energy among the computed polymorphs ... 502.0 meV/atom

---

Crystalline InCoTc2 at its relaxed geometry. Source: the Alexandria database, functional PBE.

abc: 3.8539 2.8150 6.3302
angles: 63.53 90.00 90.00
Site moments in Bohr magnetons follow the coordinates.
Fractional coordinates of all 4 atoms:
Co  0.5000  0.2500  0.2500  1.00
In  0.5000  0.7500  0.7500  0.00
Tc  0.0000  0.9551  0.0441  0.02
Tc  0.0000  0.5449  0.4559  0.02

## Properties
Calculated formation energy ... 0.31 eV per atom
Relative energy among the computed polymorphs ... 149.4 meV/atom

---

Crystalline InCoTc at its relaxed geometry. Source: the Alexandria database, functional PBE.

abc: 2.8556 2.8556 6.5659
angles: 90.00 90.00 120.00
Site moments in Bohr magnetons follow the coordinates.
Fractional coordinates of all 3 atoms:
Co  0.0000  0.0000  0.9827  0.99
In  0.6667  0.3333  0.3234  -0.01
Tc  0.3333  0.6667  0.6939  0.02

## Properties
Calculated formation energy ... 0.36 eV per atom
Relative energy among the computed polymorphs ... 185.0 meV/atom

---

Crystalline InCoTc at its relaxed geometry. Source: the Alexandria database, functional PBE.

abc: 5.9271 5.9271 2.8541
angles: 76.07 76.07 27.86
Site moments in Bohr magnetons follow the coordinates.
Fractional coordinates of all 3 atoms:
Co  0.0140  0.0140  0.9860  0.54
In  0.3396  0.3396  0.6604  -0.01
Tc  0.6464  0.6463  0.3536  0.11

## Properties
Calculated formation energy ... 0.17 eV per atom
Relative energy among the computed polymorphs ... 0.0 meV/atom

---

Crystalline InCoTc2 at its relaxed geometry. Source: the Alexandria database, functional PBE.

abc: 4.7122 4.7122 4.7727
angles: 76.82 76.82 36.46
Site moments in Bohr magnetons follow the coordinates.
Fractional coordinates of all 4 atoms:
Co  0.4897  0.4897  0.5042  1.03
In  0.2446  0.2446  0.2801  -0.02
Tc  0.0121  0.0121  0.9387  -0.03
Tc  0.7536  0.7536  0.7770  0.13

## Properties
Calculated formation energy ... 0.28 eV per atom
Relative energy among the computed polymorphs ... 121.9 meV/atom

---

Crystalline InCo3Tc at its relaxed geometry. Source: the Alexandria database, functional PBE.

abc: 4.5827 4.5827 4.5827
angles: 90.00 90.00 90.00
Site moments in Bohr magnetons follow the coordinates.
Fractional coordinates of all 5 atoms:
Co  0.0000  0.5000  0.0000  1.51
Co  0.0000  0.0000  0.5000  1.59
Co  0.5000  0.0000  0.0000  1.56
Tc  0.5000  0.5000  0.5000  2.82
In  0.0000  0.0000  0.0000  -0.15

## Properties
Calculated formation energy ... 1.93 eV per atom
Relative energy among the computed polymorphs ... 713.2 meV/atom

---

Crystalline In3CoTc at its relaxed geometry. Source: the Alexandria database, functional PBE.

abc: 4.8439 4.8439 4.8439
angles: 90.00 90.00 90.00
Site moments in Bohr magnetons follow the coordinates.
Fractional coordinates of all 5 atoms:
Co  0.0000  0.0000  0.0000  0.14
Tc  0.5000  0.5000  0.5000  3.08
In  0.0000  0.5000  0.0000  0.00
In  0.0000  0.0000  0.5000  0.01
In  0.5000  0.0000  0.0000  0.00

## Properties
Calculated formation energy ... 0.78 eV per atom
Relative energy among the computed polymorphs ... 0.0 meV/atom

---

Crystalline InCoTc2 at its relaxed geometry. Source: the Alexandria database, functional PBE.

abc: 3.6841 3.6841 4.4057
angles: 90.00 90.00 90.00
Fractional coordinates of all 4 atoms:
Co  0.5000  0.0000  0.5000
In  0.0000  0.5000  0.5000
Tc  0.0000  0.0000  0.0000
Tc  0.5000  0.5000  0.0000

## Properties
Calculated formation energy ... 0.34 eV per atom
Relative energy among the computed polymorphs ... 185.6 meV/atom

---

Crystalline InCoTc2 at its relaxed geometry. Source: the Alexandria database, functional PBE.

abc: 3.0725 3.0725 6.4663
angles: 90.00 90.00 90.00
Site moments in Bohr magnetons follow the coordinates.
Fractional coordinates of all 4 atoms:
Co  0.0000  0.0000  0.4802  1.41
In  0.5000  0.5000  0.7318  -0.01
Tc  0.0000  0.0000  0.0356  -0.13
Tc  0.5000  0.5000  0.2524  0.51

## Properties
Calculated formation energy ... 0.16 eV per atom
Relative energy among the computed polymorphs ... 0.0 meV/atom

---

Crystalline TiInCoTc at its relaxed geometry. Source: the Alexandria database, functional PBE.

abc: 4.4168 4.4168 4.4168
angles: 60.00 60.00 60.00
Site moments in Bohr magnetons follow the coordinates.
Fractional coordinates of all 4 atoms:
Ti  0.2500  0.2500  0.2500  -0.12
Co  0.5000  0.5000  0.5000  0.49
Tc  0.0000  0.0000  0.0000  0.29
In  0.7500  0.7500  0.7500  -0.01

## Properties
Calculated formation energy ... -0.08 eV per atom

---

Crystalline Tl2InCoTc at its relaxed geometry. Source: the Alexandria database, functional PBE.

abc: 5.2841 5.1989 5.2841
angles: 90.00 90.00 90.00
Site moments in Bohr magnetons follow the coordinates.
Fractional coordinates of all 5 atoms:
Tl  0.0000  0.0000  0.5000  0.00
Tl  0.5000  0.0000  0.0000  -0.01
Co  0.5000  0.5000  0.5000  2.30
Tc  0.0000  0.0000  0.0000  0.98
In  0.0000  0.5000  0.0000  -0.01

## Properties
Calculated formation energy ... 1.10 eV per atom

---

Crystalline UInCoTc at its relaxed geometry. Source: the Alexandria database, functional PBE.

abc: 4.6307 4.6307 4.6307
angles: 60.00 60.00 60.00
Site moments in Bohr magnetons follow the coordinates.
Fractional coordinates of all 4 atoms:
Co  0.7500  0.7500  0.7500  -0.41
U  0.5000  0.5000  0.5000  1.56
Tc  0.2500  0.2500  0.2500  -0.22
In  0.0000  0.0000  0.0000  0.00

## Properties
Calculated formation energy ... 0.06 eV per atom

---

Crystalline In2CoTe at its relaxed geometry. Source: the Alexandria database, functional PBE.

abc: 5.0852 5.0852 3.7564
angles: 90.00 90.00 108.82
Site moments in Bohr magnetons follow the coordinates.
Fractional coordinates of all 4 atoms:
Co  0.0000  0.5000  0.5000  1.55
In  0.0000  0.0000  0.0000  0.00
In  0.5000  0.5000  0.0000  0.00
Te  0.5000  0.0000  0.5000  0.02

## Properties
Formation energy from raw total energies ... 0.4305 eV/atom

---

Crystalline In2CoTe at its relaxed geometry. Source: the Alexandria database, functional PBE.

abc: 3.8322 3.8322 7.8009
angles: 75.91 75.91 59.99
Fractional coordinates of all 4 atoms:
Co  0.2453  0.2453  0.2646
In  0.9799  0.9799  0.0602
In  0.7464  0.7464  0.7580
Te  0.5284  0.5284  0.4172

## Properties
Formation energy from raw total energies ... 0.0683 eV/atom

---

Crystalline InCoTe2 at its relaxed geometry. Source: the Alexandria database, functional PBE.

abc: 7.2087 7.2087 7.2087
angles: 147.35 147.35 46.84
Site moments in Bohr magnetons follow the coordinates.
Fractional coordinates of all 4 atoms:
Co  0.5000  0.5000  0.0000  1.94
In  0.7500  0.2500  0.5000  0.00
Te  0.0000  0.0000  0.0000  0.07
Te  0.2500  0.7500  0.5000  0.04

## Properties
Formation energy from raw total energies ... 0.4731 eV/atom

---

Crystalline In2CoTe at its relaxed geometry. Source: the Alexandria database, functional PBE.

abc: 5.5855 4.1035 4.1035
angles: 90.00 90.00 90.00
Site moments in Bohr magnetons follow the coordinates.
Fractional coordinates of all 4 atoms:
Co  0.5000  0.0000  0.5000  1.70
In  0.0000  0.0000  0.0000  -0.01
In  0.0000  0.5000  0.5000  -0.01
Te  0.5000  0.5000  0.0000  0.04

## Properties
Formation energy from raw total energies ... 0.4196 eV/atom

---

Crystalline InCoTe2 at its relaxed geometry. Source: the Alexandria database, functional PBE.

abc: 9.0303 9.0303 9.0303
angles: 22.91 22.91 22.91
Fractional coordinates of all 4 atoms:
Co  0.5032  0.5032  0.5032
In  0.7658  0.7658  0.7658
Te  0.0110  0.0110  0.0110
Te  0.2200  0.2200  0.2200

## Properties
Formation energy from raw total energies ... 0.0669 eV/atom

---

Crystalline InCoTe2 at its relaxed geometry. Source: the Alexandria database, functional PBE.

abc: 3.2081 3.3148 8.9550
angles: 90.00 90.00 90.00
Site moments in Bohr magnetons follow the coordinates.
Fractional coordinates of all 4 atoms:
Co  0.5000  0.5000  0.2500  0.54
In  0.5000  0.5000  0.7500  0.00
Te  0.0000  0.0000  0.0738  0.00
Te  0.0000  0.0000  0.4262  0.00

## Properties
Formation energy from raw total energies ... 0.1968 eV/atom

---

Crystalline InCoTe2 at its relaxed geometry. Source: the Alexandria database, functional PBE.

abc: 8.5678 8.5678 8.5678
angles: 29.62 29.62 29.62
Site moments in Bohr magnetons follow the coordinates.
Fractional coordinates of all 4 atoms:
Te  0.0999  0.0999  0.0999  0.02
Te  0.9001  0.9001  0.9001  0.02
Co  0.0000  0.0000  0.0000  1.94
In  0.5000  0.5000  0.5000  -0.02

## Properties
Formation energy from raw total energies ... 0.3618 eV/atom

---

Crystalline InCoTe at its relaxed geometry. Source: the Alexandria database, functional PBE.

abc: 6.5800 6.5607 6.5833
angles: 70.13 72.50 89.11
Fractional coordinates of all 12 atoms:
In  0.1366  0.1749  0.3229
In  0.1733  0.3271  0.7765
In  0.6886  0.3228  0.2560
In  0.3633  0.8382  0.6723
Co  0.0517  0.5821  0.0456
Co  0.4648  0.4539  0.9477
Co  0.5016  0.9916  0.2159
Co  0.9731  0.9908  0.7781
Te  0.8391  0.6553  0.7533
Te  0.8646  0.8629  0.1985
Te  0.6221  0.1566  0.7919
Te  0.3286  0.6438  0.2413

## Properties
Formation energy from raw total energies ... -0.0614 eV/atom

---

Crystalline InCoTe2 at its relaxed geometry. Source: the Alexandria database, functional PBE.

abc: 3.1680 3.1680 9.6556
angles: 90.00 90.00 90.02
Site moments in Bohr magnetons follow the coordinates.
Fractional coordinates of all 4 atoms:
Co  0.0000  0.0000  0.4814  0.56
In  0.5000  0.5000  0.6866  0.03
Te  0.0000  0.0000  0.9869  0.03
Te  0.5000  0.5000  0.3451  0.00

## Properties
Formation energy from raw total energies ... 0.1408 eV/atom

---

Crystalline InCoTe2 at its relaxed geometry. Source: the Alexandria database, functional PBE.

abc: 3.8978 3.8978 7.8036
angles: 75.61 75.61 59.89
Fractional coordinates of all 4 atoms:
Co  0.2500  0.2500  0.2500
In  0.7500  0.7500  0.7500
Te  0.9748  0.9748  0.0765
Te  0.5252  0.5252  0.4235

## Properties
Formation energy from raw total energies ... -0.1049 eV/atom

---

Crystalline In2CoTe at its relaxed geometry. Source: the Alexandria database, functional PBE.

abc: 3.2137 3.2144 8.7394
angles: 90.00 90.00 90.00
Fractional coordinates of all 4 atoms:
Co  0.5000  0.5000  0.7320
In  0.0000  0.0000  0.9494
In  0.5000  0.5000  0.2305
Te  0.0000  0.0000  0.5880

## Properties
Formation energy from raw total energies ... 0.1094 eV/atom

---

Crystalline InCoTe2 at its relaxed geometry. Source: the Alexandria database, functional PBE.

abc: 9.6807 9.6807 9.6807
angles: 21.82 21.82 21.82
Fractional coordinates of all 4 atoms:
Te  0.8826  0.8826  0.8826
Te  0.1174  0.1174  0.1174
Co  0.5000  0.5000  0.5000
In  0.0000  0.0000  0.0000

## Properties
Formation energy from raw total energies ... -0.0940 eV/atom

---

Crystalline InCoTe2 at its relaxed geometry. Source: the Alexandria database, functional PBE.

abc: 5.1230 5.1230 5.1230
angles: 60.00 60.00 60.00
Site moments in Bohr magnetons follow the coordinates.
Fractional coordinates of all 4 atoms:
Co  0.5000  0.5000  0.5000  1.74
In  0.7500  0.7500  0.7500  -0.02
Te  0.0000  0.0000  0.0000  0.04
Te  0.2500  0.2500  0.2500  0.01

## Properties
Formation energy from raw total energies ... 0.6194 eV/atom